1.
Below is an optimized crystal structure of Pm3Zn4Pd4, with properties calculated at the PBE-GGA level.

Values from the calculation:
Energy relative to the elements (eV per atom): -0.67
Calculated density (Mg/m³): 8.47
Space group: No. 71
Magnetic moment (μB per formula unit): 0.00
Electronic total energy (eV per cell): -47.5

a = 8.3273 Å, b = 8.3273 Å, c = 8.3273 Å
α = 151.14°, β = 127.23°, γ = 61.26°
Positions (direct):
Pm  0.0000  0.0000  0.0000
Pm  0.3710  0.8710  0.5000
Pm  0.6290  0.1290  0.5000
Zn  0.0215  0.3275  0.6940
Zn  0.3665  0.6725  0.6940
Zn  0.6335  0.3275  0.3060
Zn  0.9785  0.6725  0.3060
Pd  0.2167  0.2167  0.0000
Pd  0.3063  0.5000  0.8063
Pd  0.6937  0.5000  0.1937
Pd  0.7833  0.7833  0.0000

***

2.
Below is an optimized crystal structure of PmZn3Pd2, with properties calculated at the PBE-GGA level.

Values from the calculation:
Energy relative to the elements (eV per atom): -0.51
Calculated density (Mg/m³): 8.41
Space group: No. 12
Magnetic moment (μB per formula unit): 0.00
Electronic total energy (eV per cell): -44.0

a = 7.3455 Å, b = 7.3455 Å, c = 8.3477 Å
α = 116.39°, β = 116.39°, γ = 33.24°
Positions (direct):
Pm  0.1371  0.1371  0.0268
Pm  0.8629  0.8629  0.9732
Zn  0.0490  0.0490  0.3853
Zn  0.2980  0.2980  0.4837
Zn  0.4068  0.4068  0.2980
Zn  0.5932  0.5932  0.7020
Zn  0.7020  0.7020  0.5163
Zn  0.9510  0.9510  0.6147
Pd  0.2113  0.2113  0.7174
Pd  0.4493  0.4493  0.8119
Pd  0.5507  0.5507  0.1881
Pd  0.7887  0.7887  0.2826

***

3.
Below is an optimized crystal structure of PmZn8Pd3, with properties calculated at the PBE-GGA level.

Values from the calculation:
Energy relative to the elements (eV per atom): -0.32
Calculated density (Mg/m³): 8.62
Space group: No. 156
Magnetic moment (μB per formula unit): 0.00
Electronic total energy (eV per cell): -34.4

a = 5.1079 Å, b = 5.1079 Å, c = 8.4228 Å
α = 90.00°, β = 90.00°, γ = 120.00°
Positions (direct):
Pm  0.0000  0.0000  0.0000
Zn  0.1628  0.3256  0.6764
Zn  0.1628  0.8372  0.6764
Zn  0.3333  0.6667  0.4426
Zn  0.3333  0.6667  0.9332
Zn  0.5043  0.0087  0.2079
Zn  0.5043  0.4957  0.2079
Zn  0.6744  0.8372  0.6764
Zn  0.9913  0.4957  0.2079
Pd  0.0000  0.0000  0.3624
Pd  0.6667  0.3333  0.5053
Pd  0.6667  0.3333  0.8815

***

4.
Below is an optimized crystal structure of PmZn2Pd8, with properties calculated at the PBE-GGA level.

Values from the calculation:
Energy relative to the elements (eV per atom): -0.48
Calculated density (Mg/m³): 10.47
Space group: No. 12
Magnetic moment (μB per formula unit): 0.00
Electronic total energy (eV per cell): -54.1

a = 7.3516 Å, b = 7.3516 Å, c = 6.4366 Å
α = 107.40°, β = 107.40°, γ = 32.74°
Positions (direct):
Pm  0.0000  0.0000  0.0000
Zn  0.2762  0.2762  0.3468
Zn  0.7238  0.7238  0.6532
Pd  0.1019  0.1019  0.4776
Pd  0.1847  0.1847  0.9261
Pd  0.3490  0.3490  0.7797
Pd  0.4546  0.4546  0.2798
Pd  0.5454  0.5454  0.7202
Pd  0.6510  0.6510  0.2203
Pd  0.8153  0.8153  0.0739
Pd  0.8981  0.8981  0.5224

***

5.
Below is an optimized crystal structure of PmZn6Pd6, with properties calculated at the PBE-GGA level.

Values from the calculation:
Energy relative to the elements (eV per atom): -0.54
Calculated density (Mg/m³): 9.48
Space group: No. 71
Magnetic moment (μB per formula unit): 0.00
Electronic total energy (eV per cell): -50.6

a = 6.7988 Å, b = 6.7988 Å, c = 6.7988 Å
α = 134.73°, β = 98.80°, γ = 98.24°
Positions (direct):
Pm  0.0000  0.0000  0.0000
Zn  0.0000  0.0000  0.5000
Zn  0.0000  0.5000  0.0000
Zn  0.2388  0.5000  0.7388
Zn  0.5000  0.0000  0.0000
Zn  0.5000  0.5000  0.5000
Zn  0.7612  0.5000  0.2612
Pd  0.1887  0.6887  0.5000
Pd  0.3423  0.3423  0.0000
Pd  0.3444  0.0000  0.3444
Pd  0.6556  0.0000  0.6556
Pd  0.6577  0.6577  0.0000
Pd  0.8113  0.3113  0.5000

***

6.
Below is an optimized crystal structure of Pm2Zn4Pd5, with properties calculated at the PBE-GGA level.

Values from the calculation:
Energy relative to the elements (eV per atom): -0.61
Calculated density (Mg/m³): 8.63
Space group: No. 69
Magnetic moment (μB per formula unit): 0.00
Electronic total energy (eV per cell): -47.2

a = 9.1331 Å, b = 8.3514 Å, c = 5.4653 Å
α = 79.78°, β = 64.14°, γ = 36.08°
Positions (direct):
Pm  0.1283  0.1283  0.8717
Pm  0.8717  0.8717  0.1283
Zn  0.2152  0.5248  0.4752
Zn  0.4752  0.7848  0.2152
Zn  0.5248  0.2152  0.7848
Zn  0.7848  0.4752  0.5248
Pd  0.0000  0.0000  0.5000
Pd  0.2500  0.2500  0.2500
Pd  0.5000  0.5000  0.0000
Pd  0.5000  0.5000  0.5000
Pd  0.7500  0.7500  0.7500

***

Question: Which value of magnetic moment does entry 5 give?
Answer: 0.00 μB per formula unit

***

Question: What is the formula in the first record?
Answer: Pm3Zn4Pd4